Compound: Fe4O13
Source: Alexandria via LeMat-Bulk
Functional: GGA+U
Structure: optimized geometry

Lattice parameters (Å, degrees): 6.5103 6.5103 6.5103 121.76 106.14 101.28
With the nearest neighbours (Å) after each atom.
Fractional positions:
O 0.5000 0.0000 0.5000  4 O 2.37
O 0.2775 0.6063 0.8838  1 O 1.35
O 0.7225 0.3937 0.1162  1 O 1.35
O 0.9965 0.8258 0.1706  2 Fe 1.81
O 0.0035 0.1742 0.8294  2 Fe 1.81
O 0.3448 0.1742 0.1706  2 Fe 1.81
O 0.6552 0.8258 0.8294  2 Fe 1.81
O 0.7744 0.1641 0.3897  1 O 1.40
O 0.2775 0.3937 0.6712  1 O 1.35
O 0.2256 0.6152 0.3897  1 O 1.40
O 0.2256 0.8359 0.6103  1 O 1.40
O 0.7744 0.3848 0.6103  1 O 1.40
O 0.7225 0.6063 0.3288  1 O 1.35
Fe 0.0000 0.0000 0.5000  2 O 1.81
Fe 0.5000 0.5000 0.5000  2 O 1.81
Fe 0.0000 0.5000 0.0000  2 O 1.81
Fe 0.5000 0.0000 0.0000  2 O 1.81

## Properties
* relative energy among the computed polymorphs: 0.0 kJ/mol of atoms
* symmetry: Immm, No. 71